A plane-wave DFT calculation with PBE-GGA was carried out for LiP2Cl after structural relaxation.

a b c (Å): 4.8516 4.8516 8.2037
angles (deg): 90.00 90.00 139.95
Last column: nearest neighbours and their distance in Å.
Positions (direct):
Li 0.0000 0.0000 0.0000  2 Cl 2.16
P 0.0000 0.0000 0.5203  2 P 2.16
P 0.5000 0.5000 0.6879  2 P 2.16
Cl 0.5000 0.5000 0.1690  2 Li 2.16

* symmetry: Cmm2
* DOS(E_F): 2.416 states/eV/f.u.
* ρ: 1.4 g cm⁻³
* total magnetization: 0.000 μB/f.u.
* energy relative to the elements, uncorrected: -0.4105 eV/atom
* E: -16.22 eV per formula unit

---

A plane-wave DFT calculation with PBE-GGA was carried out for LiZr2Sc after structural relaxation.

a b c (Å): 4.9877 4.9877 4.9877
angles (deg): 60.00 60.00 60.00
Last column: nearest neighbours and their distance in Å.
Positions (direct):
Li 0.0000 0.0000 0.0000  4 Zr 3.05, 4 Sc 3.05
Zr 0.5000 0.5000 0.5000  4 Zr 3.05, 4 Sc 3.05
Zr 0.7500 0.7500 0.7500  4 Zr 3.05, 4 Li 3.05
Sc 0.2500 0.2500 0.2500  4 Zr 3.05, 4 Li 3.05

* symmetry: F-43m
* DOS(E_F): 5.218 states/eV/f.u.
* formation energy from the elements: 6.4 kcal/mol of atoms
* ρ: 4.4 g cm⁻³
* total magnetization: 1.919 μB/f.u.
* E: -24.24 eV per formula unit